## CrNiPt2 (PBE)

Data for a relaxed structure of CrNiPt2.

The structure belongs to space group I-4m2 (No. 119); the cell edges are 3.7755, 3.7755 and 7.7533 Å and the angles 90.00°, 90.00° and 90.00°. The inequivalent atoms are Cr at (0.0000, 0.0000, 0.0000), Ni at (0.0000, 0.5000, 0.2500), Pt at (0.0000, 0.0000, 0.5000) and Pt at (0.0000, 0.5000, 0.7500).

The value obtained for the total energy is -7.063 eV per atom. The calculation puts the density of states at the Fermi level at 4.447 states/eV/f.u. The energy of formation from the pure elements comes out at -0.192 eV/atom. The magnetic moment is 0.449 μB/atom.